(a)
VASP calculation (GGA-PBE) on a relaxed structure of MgAgI3.

Cell: 7.5450 7.5450 7.7276 Å, 90.00 90.00 120.00°
Sites, in units of the cell vectors:
1 I 0.3668 0.0000 0.2752
2 Ag 0.0000 0.0000 0.3053
3 Ag 0.0000 0.0000 0.6947
4 I 0.0000 0.3668 0.2752
5 I 0.6332 0.6332 0.2752
6 Mg 0.6667 0.3333 0.5000
7 I 0.6332 0.0000 0.7248
8 Mg 0.3333 0.6667 0.5000
9 I 0.0000 0.6332 0.7248
10 I 0.3668 0.3668 0.7248

(b)
VASP calculation (GGA-PBE) on a relaxed structure of MgAgI3.

Cell: 5.7345 5.7345 5.7345 Å, 90.00 90.00 90.00°
Sites, in units of the cell vectors:
1 I 0.0000 0.5000 0.0000
2 Mg 0.0000 0.0000 0.0000
3 I 0.0000 0.0000 0.5000
4 I 0.5000 0.0000 0.0000
5 Ag 0.5000 0.5000 0.5000

Relative energy table, unit meV/atom: (a) 0; (b) 430

(a)
VASP calculation (GGA-PBE) on a relaxed structure of MgAgIN2.

Cell: 4.2387 4.2387 6.2583 Å, 90.00 90.00 90.00°
Sites, in units of the cell vectors:
1 Mg 0.0000 0.0000 0.0000
2 N 0.5000 0.0000 0.0000
3 N 0.0000 0.5000 0.0000
4 I 0.0000 0.0000 0.5000
5 Ag 0.5000 0.5000 0.5000

(b)
VASP calculation (GGA-PBE) on a relaxed structure of MgAgIN2.

Cell: 4.1637 4.1637 6.9324 Å, 90.00 90.00 90.00°
Sites, in units of the cell vectors:
1 I 0.0000 0.0000 0.5000
2 Mg 0.5000 0.5000 0.5000
3 N 0.0000 0.5000 0.0000
4 Ag 0.0000 0.0000 0.0000
5 N 0.5000 0.0000 0.0000

Relative energy table, unit meV/atom: (a) 0; (b) 351

(a)
VASP calculation (GGA-PBE) on a relaxed structure of MgAgI2N.

Cell: 5.8916 5.8916 4.0955 Å, 90.00 90.00 90.00°
Sites, in units of the cell vectors:
1 Ag 0.0000 0.0000 0.0000
2 N 0.0000 0.0000 0.5000
3 I 0.0000 0.5000 0.0000
4 Mg 0.5000 0.5000 0.5000
5 I 0.5000 0.0000 0.0000

(b)
VASP calculation (GGA-PBE) on a relaxed structure of MgAgI2N.

Cell: 5.8496 5.8496 4.0993 Å, 90.00 90.00 90.00°
Sites, in units of the cell vectors:
1 I 0.0000 0.5000 0.0000
2 Ag 0.5000 0.5000 0.5000
3 N 0.0000 0.0000 0.5000
4 I 0.5000 0.0000 0.0000
5 Mg 0.0000 0.0000 0.0000

Relative energy table, unit meV/atom: (a) 337; (b) 0

(a)
VASP calculation (GGA-PBE) on a relaxed structure of MgAgTe2I.

Cell: 5.4969 5.4969 5.7425 Å, 90.00 90.00 90.00°
Sites, in units of the cell vectors:
1 Te 0.5000 0.0000 0.0000
2 Ag 0.5000 0.5000 0.5000
3 Mg 0.0000 0.0000 0.0000
4 Te 0.0000 0.5000 0.0000
5 I 0.0000 0.0000 0.5000

(b)
VASP calculation (GGA-PBE) on a relaxed structure of MgAgTe2I.

Cell: 5.4947 5.4947 5.5960 Å, 90.00 90.00 90.00°
Sites, in units of the cell vectors:
1 I 0.0000 0.0000 0.5000
2 Mg 0.5000 0.5000 0.5000
3 Te 0.0000 0.5000 0.0000
4 Te 0.5000 0.0000 0.0000
5 Ag 0.0000 0.0000 0.0000

Relative energy table, unit meV/atom: (a) 0; (b) 71